[1]
First-principles (PBE-GGA) data for crystalline NaPuBiO6 at its relaxed geometry, as listed in Alexandria. Values from VASP.

Summary:
formation energy without anion corrections	-15.57	eV/f.u.
crystal system	trigonal
uncorrected energy	-7.205	eV/atom
M_tot	0.0	μB per formula unit
symmetry	No. 163

Geometry as Quantum ESPRESSO input:
```
&SYSTEM
  ibrav = 0, nat = 18, ntyp = 4
/
ATOMIC_SPECIES
Na 22.99 Na.upf
Pu 244.00 Pu.upf
Bi 208.98 Bi.upf
O 16.00 O.upf
CELL_PARAMETERS angstrom
5.906 0.000 0.000
-2.953 5.115 0.000
0.000 0.000 9.718
ATOMIC_POSITIONS angstrom
Na 0.000 0.000 0.000
Na 0.000 0.000 4.859
Pu 2.953 1.705 2.429
Pu 0.000 3.410 7.288
Bi 0.000 3.410 2.429
Bi 2.953 1.705 7.288
O 2.061 3.118 1.350
O 4.623 1.771 1.350
O -0.777 4.889 6.208
O -1.670 3.344 8.368
O 1.283 1.771 3.509
O 3.845 3.118 3.509
O 0.777 4.889 8.368
O 3.730 0.226 3.509
O -0.892 1.997 6.208
O 2.176 0.226 1.350
O 1.670 3.344 6.208
O 0.892 1.997 8.368
```

=====

[2]
First-principles (PBE-GGA) data for crystalline RbNaBiO3 at its relaxed geometry, as listed in Alexandria. Values from VASP.

Summary:
formation energy without anion corrections	-7.43	eV/f.u.
crystal system	monoclinic
uncorrected energy	-4.746	eV/atom
M_tot	0.0	μB per formula unit
symmetry	No. 11

Geometry as Quantum ESPRESSO input:
```
&SYSTEM
  ibrav = 0, nat = 12, ntyp = 4
/
ATOMIC_SPECIES
Rb 85.47 Rb.upf
Na 22.99 Na.upf
Bi 208.98 Bi.upf
O 16.00 O.upf
CELL_PARAMETERS angstrom
3.535 0.000 0.000
0.000 8.403 2.301
0.000 -1.339 7.066
ATOMIC_POSITIONS angstrom
Rb 2.652 5.008 5.598
Rb 0.884 2.056 3.769
Na 0.884 -0.880 5.766
Na 2.652 7.944 3.601
Bi 0.884 5.591 2.051
Bi 2.652 1.472 7.316
O 0.884 6.441 3.985
O 2.652 5.563 8.419
O 2.652 4.117 2.432
O 2.652 0.622 5.382
O 0.884 2.947 6.935
O 0.884 1.501 0.948
```

=====

[3]
First-principles (PBE-GGA) data for crystalline Rb2NaBiO4 at its relaxed geometry, as listed in Alexandria. Values from VASP.

Summary:
formation energy without anion corrections	-8.63	eV/f.u.
crystal system	orthorhombic
uncorrected energy	-4.450	eV/atom
M_tot	0.1	μB per formula unit
symmetry	No. 70

Geometry as Quantum ESPRESSO input:
```
&SYSTEM
  ibrav = 0, nat = 16, ntyp = 4
/
ATOMIC_SPECIES
Rb 85.47 Rb.upf
Na 22.99 Na.upf
Bi 208.98 Bi.upf
O 16.00 O.upf
CELL_PARAMETERS angstrom
-3.501 1.156 -4.673
-2.092 -5.843 -3.669
-9.893 -0.213 3.567
ATOMIC_POSITIONS angstrom
Rb -6.895 0.078 1.394
Rb -6.498 0.865 -2.499
Rb -11.616 -2.452 -1.382
Rb -5.620 -1.870 -5.729
Na -8.618 -2.161 -3.556
Na 0.000 0.000 0.000
Bi -6.868 -2.739 -1.219
Bi -1.750 0.578 -2.337
O -3.731 -4.351 -4.173
O -10.194 -1.065 1.481
O -13.714 -3.905 -3.755
O -3.332 -0.479 -3.103
O -6.979 -3.654 -3.052
O -8.317 -1.309 -1.470
O -10.389 -3.156 -4.576
O -5.286 -1.682 -0.452
```

=====

[4]
First-principles (PBE-GGA) data for crystalline NaReBi2O6 at its relaxed geometry, as listed in Alexandria. Values from VASP.

Summary:
formation energy without anion corrections	-13.60	eV/f.u.
crystal system	trigonal
uncorrected energy	-6.487	eV/atom
M_tot	2.0	μB per formula unit
symmetry	No. 146

Geometry as Quantum ESPRESSO input:
```
&SYSTEM
  ibrav = 0, nat = 10, ntyp = 4
/
ATOMIC_SPECIES
Na 22.99 Na.upf
Re 186.21 Re.upf
Bi 208.98 Bi.upf
O 16.00 O.upf
CELL_PARAMETERS angstrom
-4.935 0.161 3.081
0.392 -3.422 -4.689
4.812 -2.670 2.350
ATOMIC_POSITIONS angstrom
Na 2.586 -3.127 -1.108
Re 0.173 -5.833 0.666
Bi -0.862 -3.512 -1.115
Bi 1.373 -3.193 2.449
O 1.067 -4.833 -0.855
O -1.320 -0.774 1.208
O -3.139 -2.849 -0.438
O 0.610 -1.544 -0.918
O -0.448 -3.967 1.158
O 3.119 -2.473 1.029
```

=====

[5]
First-principles (PBE-GGA) data for crystalline Na2ReBiO6 at its relaxed geometry, as listed in Alexandria. Values from VASP.

Summary:
formation energy without anion corrections	-15.79	eV/f.u.
crystal system	trigonal
uncorrected energy	-6.451	eV/atom
M_tot	0.0	μB per formula unit
symmetry	No. 146

Geometry as Quantum ESPRESSO input:
```
&SYSTEM
  ibrav = 0, nat = 10, ntyp = 4
/
ATOMIC_SPECIES
Na 22.99 Na.upf
Re 186.21 Re.upf
Bi 208.98 Bi.upf
O 16.00 O.upf
CELL_PARAMETERS angstrom
-0.162 -5.614 0.872
1.767 -3.560 -4.064
5.271 -2.895 0.852
ATOMIC_POSITIONS angstrom
Na 3.019 -6.049 -1.340
Na 4.894 -2.908 0.700
Re 0.766 -3.050 -0.971
Bi 4.479 -9.075 -2.030
O 1.480 -4.550 -0.262
O 2.893 -5.482 -3.671
O 1.977 -8.209 -1.180
O 5.243 -7.087 -1.609
O 4.254 -6.376 0.773
O 4.915 -4.500 -1.016
```

=====

[6]
First-principles (PBE-GGA) data for crystalline NaReBi2O8 at its relaxed geometry, as listed in Alexandria. Values from VASP.

Summary:
formation energy without anion corrections	-14.88	eV/f.u.
crystal system	monoclinic
uncorrected energy	-6.340	eV/atom
M_tot	0.0	μB per formula unit
symmetry	No. 10

Geometry as Quantum ESPRESSO input:
```
&SYSTEM
  ibrav = 0, nat = 12, ntyp = 4
/
ATOMIC_SPECIES
Na 22.99 Na.upf
Re 186.21 Re.upf
Bi 208.98 Bi.upf
O 16.00 O.upf
CELL_PARAMETERS angstrom
5.034 -0.009 -0.003
0.022 5.016 -0.005
0.004 0.007 6.888
ATOMIC_POSITIONS angstrom
Na 0.002 0.004 3.444
Re 0.000 0.000 0.000
Bi 2.531 2.509 5.132
Bi 2.529 2.506 1.748
O 0.923 4.092 1.356
O 3.646 3.634 -0.006
O 4.135 0.919 1.358
O 4.137 0.923 5.523
O 1.415 1.381 6.886
O 0.926 4.097 5.522
O 3.464 3.458 3.438
O 1.597 1.558 3.442
```

=====

[7]
First-principles (PBE-GGA) data for crystalline NaBi2RhO8 at its relaxed geometry, as listed in Alexandria. Values from VASP.

Summary:
formation energy without anion corrections	-9.14	eV/f.u.
crystal system	monoclinic
uncorrected energy	-5.437	eV/atom
M_tot	2.0	μB per formula unit
symmetry	No. 10

Geometry as Quantum ESPRESSO input:
```
&SYSTEM
  ibrav = 0, nat = 12, ntyp = 4
/
ATOMIC_SPECIES
Na 22.99 Na.upf
Bi 208.98 Bi.upf
Rh 102.91 Rh.upf
O 16.00 O.upf
CELL_PARAMETERS angstrom
-3.375 -1.540 -3.305
0.924 -4.647 1.032
-4.745 0.121 4.788
ATOMIC_POSITIONS angstrom
Na -2.372 0.060 2.394
Bi -4.778 -3.003 2.448
Bi -2.418 -3.063 0.067
Rh 0.000 0.000 0.000
O -0.850 -3.883 1.311
O -6.372 -4.370 3.290
O -3.656 -2.252 -1.511
O -6.347 -2.184 1.205
O -0.825 -1.696 -0.774
O -3.541 -3.815 4.026
O -3.955 -4.275 0.935
O -3.241 -1.792 1.580
```

=====

[8]
First-principles (PBE-GGA) data for crystalline NaBiRh2O at its relaxed geometry, as listed in Alexandria. Values from VASP.

Summary:
formation energy without anion corrections	4.27	eV/f.u.
crystal system	tetragonal
uncorrected energy	-4.118	eV/atom
M_tot	1.7	μB per formula unit
symmetry	No. 123

Geometry as Quantum ESPRESSO input:
```
&SYSTEM
  ibrav = 0, nat = 5, ntyp = 4
/
ATOMIC_SPECIES
Na 22.99 Na.upf
Rh 102.91 Rh.upf
Bi 208.98 Bi.upf
O 16.00 O.upf
CELL_PARAMETERS angstrom
4.815 0.000 0.000
0.000 3.886 0.000
0.000 0.000 4.815
ATOMIC_POSITIONS angstrom
Na 0.000 0.000 0.000
Rh 0.000 0.000 2.408
Rh 2.408 0.000 0.000
Bi 2.408 1.943 2.408
O 0.000 1.943 0.000
```